Record 1
VMoPd4 | PBE | optimized geometry

Geometry as POSCAR:
```
VMoPd4
1.0
2.756 0.000 0.000
0.000 2.756 0.000
0.000 0.000 11.823
V Mo Pd
1 1 4
Direct
0.000 0.000 0.000
0.500 0.500 0.500
0.000 0.000 0.334
0.000 0.000 0.666
0.500 0.500 0.154
0.500 0.500 0.846
```

Electronic total energy: -41.71 eV for the cell shown
Density of states at the Fermi level: 6.16 states/eV/cell
Magnetization: 0.0 μB per cell



Record 2
VMoPd2 | PBE | optimized geometry

Geometry as POSCAR:
```
VMoPd2
1.0
2.747 0.000 0.000
-1.374 2.379 0.000
0.000 0.000 27.387
V Mo Pd
3 3 6
Direct
0.000 0.000 0.000
0.333 0.667 0.667
0.667 0.333 0.333
0.000 0.000 0.500
0.333 0.667 0.167
0.667 0.333 0.833
0.000 0.000 0.253
0.000 0.000 0.747
0.333 0.667 0.414
0.333 0.667 0.919
0.667 0.333 0.081
0.667 0.333 0.586
```

Electronic total energy: -90.88 eV for the cell shown
Density of states at the Fermi level: 13.58 states/eV/cell
Magnetization: 0.0 μB per cell



Record 3
VMoPd2 | PBE | optimized geometry

Geometry as POSCAR:
```
VMoPd2
1.0
3.822 0.000 0.000
0.000 3.822 0.000
0.000 0.000 4.044
V Mo Pd
1 1 2
Direct
0.000 0.000 0.000
0.500 0.500 0.000
0.000 0.500 0.500
0.500 0.000 0.500
```

Electronic total energy: -30.68 eV for the cell shown
Density of states at the Fermi level: 3.24 states/eV/cell
Magnetization: 0.0 μB per cell



Record 4
VMoPd6 | PBE | optimized geometry

Geometry as POSCAR:
```
VMoPd6
1.0
4.485 0.000 0.000
0.000 5.507 0.000
0.000 0.000 9.776
V Mo Pd
2 2 12
Direct
0.000 0.000 0.000
0.000 0.500 0.500
0.500 0.000 0.174
0.500 0.500 0.674
0.000 0.000 0.506
0.000 0.245 0.253
0.000 0.255 0.753
0.000 0.500 0.006
0.000 0.745 0.753
0.000 0.755 0.253
0.500 0.000 0.672
0.500 0.244 0.924
0.500 0.256 0.424
0.500 0.500 0.172
0.500 0.744 0.424
0.500 0.756 0.924
```

Electronic total energy: -103.39 eV for the cell shown
Density of states at the Fermi level: 16.76 states/eV/cell
Magnetization: 2.0 μB per cell



Record 5
VMo2Pd8 | PBE | optimized geometry

Geometry as POSCAR:
```
VMo2Pd8
1.0
7.128 -1.944 0.000
7.128 1.944 0.000
-1.584 0.000 5.998
V Mo Pd
1 2 8
Direct
0.000 0.000 0.000
0.274 0.274 0.378
0.726 0.726 0.622
0.091 0.091 0.445
0.182 0.182 0.913
0.366 0.366 0.821
0.453 0.453 0.267
0.547 0.547 0.733
0.634 0.634 0.179
0.818 0.818 0.087
0.909 0.909 0.555
```

Electronic total energy: -73.64 eV for the cell shown
Density of states at the Fermi level: 10.83 states/eV/cell
Magnetization: 0.5 μB per cell



Record 6
V3MoPd | PBE | optimized geometry

Geometry as POSCAR:
```
V3MoPd
1.0
4.491 0.000 0.000
0.000 4.491 0.000
0.000 0.000 4.491
V Mo Pd
3 1 1
Direct
0.000 0.000 0.500
0.000 0.500 0.000
0.500 0.000 0.000
0.000 0.000 0.000
0.500 0.500 0.500
```

Electronic total energy: -37.20 eV for the cell shown
Density of states at the Fermi level: 8.84 states/eV/cell
Magnetization: 0.0 μB per cell



Record 7
VMoPd2 | PBE | optimized geometry

Geometry as POSCAR:
```
VMoPd2
1.0
6.293 0.000 0.000
0.000 6.293 0.000
0.000 0.000 6.293
V Mo Pd
4 4 8
Direct
0.000 0.000 0.000
0.000 0.500 0.500
0.500 0.000 0.500
0.500 0.500 0.000
0.000 0.000 0.500
0.000 0.500 0.000
0.500 0.000 0.000
0.500 0.500 0.500
0.250 0.250 0.250
0.250 0.250 0.750
0.250 0.750 0.250
0.250 0.750 0.750
0.750 0.250 0.250
0.750 0.250 0.750
0.750 0.750 0.250
0.750 0.750 0.750
```

Electronic total energy: -117.11 eV for the cell shown
Density of states at the Fermi level: 28.48 states/eV/cell
Magnetization: 10.7 μB per cell



Record 8
V2MoPd4 | PBE | optimized geometry

Geometry as POSCAR:
```
V2MoPd4
1.0
4.833 -2.689 0.000
4.833 2.689 0.000
-4.820 0.000 8.620
V Mo Pd
4 2 8
Direct
0.000 0.000 0.000
0.000 0.000 0.500
0.263 0.263 0.508
0.737 0.737 0.492
0.000 0.500 0.000
0.500 0.000 0.000
0.217 0.731 0.738
0.250 0.250 0.768
0.269 0.783 0.262
0.291 0.291 0.274
0.709 0.709 0.726
0.731 0.217 0.738
0.750 0.750 0.232
0.783 0.269 0.262
```

Electronic total energy: -97.11 eV for the cell shown
Density of states at the Fermi level: 14.33 states/eV/cell
Magnetization: 0.0 μB per cell



Values for energy of formation from the pure elements, meV per atom, ordered as above
-165, 10, -86, -73, -120, 1236, 265, 183